No. 1
Below is a relaxed structure of BePBr2, with properties calculated at the PBE level.

```
BePBr2
1.0
-1.602 3.556 5.631
1.602 -3.556 5.631
1.602 3.556 -5.631
Be P Br
1 1 2
Direct
0.000 0.000 0.000 Be
0.500 0.500 0.000 P
0.141 0.641 0.500 Br
0.859 0.359 0.500 Br
```

Output
**M_tot**: 2.25 Bohr magnetons per cell
**Uncorrected energy**: -2.8437 eV per atom
**Space-group type**: Immm
**Volume**: 128 Å³ per cell

---

No. 2
Below is a relaxed structure of BePBr3, with properties calculated at the PBE level.

```
BePBr3
1.0
4.867 0.000 0.000
0.000 4.867 0.000
0.000 0.000 4.867
Be P Br
1 1 3
Direct
0.000 0.000 0.000 Be
0.500 0.500 0.500 P
0.000 0.000 0.500 Br
0.000 0.500 0.000 Br
0.500 0.000 0.000 Br
```

Output
**M_tot**: 2.00 Bohr magnetons per cell
**Uncorrected energy**: -2.4969 eV per atom
**Space-group type**: Pm-3m
**Volume**: 115 Å³ per cell

---

No. 3
Below is a relaxed structure of BePBr2, with properties calculated at the PBE level.

```
BePBr2
1.0
3.389 0.000 0.000
0.000 3.922 0.000
0.000 0.000 6.537
Be P Br
1 1 2
Direct
0.000 0.000 0.000 Be
0.500 0.000 0.500 P
0.000 0.500 0.500 Br
0.500 0.500 0.000 Br
```

Output
**M_tot**: 0.00 Bohr magnetons per cell
**Uncorrected energy**: -2.4699 eV per atom
**Space-group type**: Pmmm
**Volume**: 87 Å³ per cell

---

No. 4
Below is a relaxed structure of BePBr2, with properties calculated at the PBE level.

```
BePBr2
1.0
1.593 -3.255 0.000
1.593 3.255 0.000
0.000 0.000 11.028
Be P Br
1 1 2
Direct
0.000 0.000 0.000 Be
0.000 0.000 0.500 P
0.500 0.500 0.144 Br
0.500 0.500 0.856 Br
```

Output
**M_tot**: 1.01 Bohr magnetons per cell
**Uncorrected energy**: -2.8409 eV per atom
**Space-group type**: Cmmm
**Volume**: 114 Å³ per cell

---

No. 5
Below is a relaxed structure of BePBr, with properties calculated at the PBE level.

```
BePBr
1.0
3.157 0.000 0.000
-1.579 2.734 0.000
0.000 0.000 7.003
Be P Br
1 1 1
Direct
0.000 0.000 0.000 Be
0.333 0.667 0.756 P
0.667 0.333 0.197 Br
```

Output
**M_tot**: 0.00 Bohr magnetons per cell
**Uncorrected energy**: -3.4138 eV per atom
**Space-group type**: P3m1
**Volume**: 60 Å³ per cell

---

No. 6
Below is a relaxed structure of BePBr2, with properties calculated at the PBE level.

```
BePBr2
1.0
0.000 3.405 3.405
3.405 0.000 3.405
3.405 3.405 0.000
Be P Br
1 1 2
Direct
0.000 0.000 0.000 Be
0.750 0.750 0.750 P
0.250 0.250 0.250 Br
0.500 0.500 0.500 Br
```

Output
**M_tot**: 0.00 Bohr magnetons per cell
**Uncorrected energy**: -2.0411 eV per atom
**Space-group type**: F-43m
**Volume**: 79 Å³ per cell

---

No. 7
Below is a relaxed structure of BePBr2, with properties calculated at the PBE level.

```
BePBr2
1.0
4.437 0.000 0.000
0.000 3.273 0.000
-0.976 0.000 6.937
Be P Br
1 1 2
Direct
0.000 0.000 0.000 Be
0.500 0.000 0.000 P
0.171 0.500 0.252 Br
0.829 0.500 0.748 Br
```

Output
**M_tot**: 0.00 Bohr magnetons per cell
**Uncorrected energy**: -3.0018 eV per atom
**Space-group type**: P2/m
**Volume**: 101 Å³ per cell

---

No. 8
Below is a relaxed structure of BePBr, with properties calculated at the PBE level.

```
BePBr
1.0
0.000 3.105 3.105
3.105 0.000 3.105
3.105 3.105 0.000
Be P Br
1 1 1
Direct
0.000 0.000 0.000 Be
0.500 0.500 0.500 P
0.750 0.750 0.750 Br
```

Output
**M_tot**: 0.00 Bohr magnetons per cell
**Uncorrected energy**: -2.1026 eV per atom
**Space-group type**: F-43m
**Volume**: 60 Å³ per cell

---

no.,density of states at the Fermi level (states/eV per atom),formation energy (no corrections) (eV/f.u.),ΔE to the lowest computed polymorph (eV/f.u.)
1,0.072,1.107,2.05
2,0.673,1.670,0.00
3,0.488,2.602,3.54
4,0.188,1.118,2.06
5,0.754,0.567,1.83
6,0.740,4.318,5.26
7,0.827,0.475,1.42
8,1.077,4.501,5.77